Density functional theory data (PBE) for a relaxed structure of Ac2Sn2Pd15.

Values from the calculation:
Its theoretical density is 10.8 g/cm³. For the spin magnetization, the calculation gives 0.000 μB/f.u. The space group is R-3m, No. 166. The total energy comes out at -5.407 eV/atom.

Structure (POSCAR):
```
Ac2Sn2Pd15
1.0
4.6732 2.6981 4.6698
-4.6732 2.6981 4.6698
0.0000 -5.3962 4.6698
Ac Sn Pd
2 2 15
Cartesian
0.0000 0.0000 2.0880
0.0000 0.0000 11.9213
0.0000 0.0000 5.5369
0.0000 0.0000 8.4724
-2.3366 -1.3490 4.6698
0.0000 -2.7145 4.4784
-2.3508 1.3572 4.4784
-1.4073 -2.4375 7.0047
-2.8145 0.0000 7.0047
-2.3508 -1.3572 9.5309
-2.3366 1.3490 9.3395
1.4073 -2.4375 7.0047
0.0000 2.6981 4.6698
-1.4073 2.4375 7.0047
2.3508 1.3572 4.4784
2.8145 0.0000 7.0047
1.4073 2.4375 7.0047
2.3508 -1.3572 9.5309
0.0000 2.7145 9.5309
```